1.
5
Lattice="5.250 0.000 0.000 0.000 5.250 0.000 0.000 0.000 5.018" Properties=species:S:1:pos:R:3 comment="NaLa2MoIr, optimized geometry, DFT PBE-GGA" formation_enthalpy_0k_ev_per_fu=4.842 rho_g_cm3=7.1 pbc="T T T"
Na 0.000 0.000 0.000
La 0.000 2.625 2.509
La 2.625 0.000 2.509
Mo 0.000 0.000 2.509
Ir 2.625 2.625 0.000


2.
5
Lattice="4.998 0.000 0.000 0.000 4.998 0.000 0.000 0.000 4.981" Properties=species:S:1:pos:R:3 comment="LaMo2IrPb, optimized geometry, DFT PBE-GGA" formation_enthalpy_0k_ev_per_fu=9.943 rho_g_cm3=9.7 pbc="T T T"
La 0.000 0.000 0.000
Mo 0.000 2.499 0.000
Mo 2.499 0.000 0.000
Ir 0.000 0.000 2.491
Pb 2.499 2.499 2.491


3.
10
Lattice="6.872 0.000 0.000 0.000 6.872 0.000 0.000 0.000 3.517" Properties=species:S:1:pos:R:3 comment="La2IrN2, optimized geometry, DFT PBE-GGA" e_form_raw_kj_per_mol_fu=-272.4 e_above_lowest_polymorph_mev_per_atom=168 rho_g_cm3=10.0 pbc="T T T"
La 1.097 2.339 0.000
La 2.339 5.775 0.000
La 4.533 1.097 0.000
La 5.775 4.533 0.000
Ir 0.000 0.000 1.759
Ir 3.436 3.436 1.759
N 1.151 4.586 1.759
N 2.285 1.151 1.759
N 4.586 5.721 1.759
N 5.721 2.285 1.759


4.
5
Lattice="5.048 0.000 0.000 0.000 5.048 0.000 0.000 0.000 5.048" Properties=species:S:1:pos:R:3 comment="LaIr3N, optimized geometry, DFT PBE-GGA" e_form_raw_kj_per_mol_fu=1500.4 rho_g_cm3=9.4 pbc="T T T"
La 0.000 0.000 0.000
Ir 0.000 0.000 2.524
Ir 0.000 2.524 0.000
Ir 2.524 0.000 0.000
N 2.524 2.524 2.524


5.
4
Lattice="1.959 1.131 6.685 -1.959 1.131 6.685 0.000 -2.262 6.685" Properties=species:S:1:pos:R:3 comment="La2IrN, optimized geometry, DFT PBE-GGA" e_form_raw_kj_per_mol_fu=-317.2 rho_g_cm3=9.0 pbc="T T T"
La 0.000 0.000 4.828
La 0.000 0.000 15.228
Ir 0.000 0.000 0.000
N 0.000 0.000 10.028


6.
8
Lattice="-3.409 3.409 4.087 3.409 -3.409 4.087 3.409 3.409 -4.087" Properties=species:S:1:pos:R:3 comment="La2IrN, optimized geometry, DFT PBE-GGA" e_form_raw_kj_per_mol_fu=-297.0 rho_g_cm3=8.5 pbc="T T T"
La 5.114 1.365 -1.022
La 1.365 1.705 1.022
La -1.705 2.044 3.066
La 2.044 1.705 5.109
Ir 3.409 0.000 2.044
Ir 0.000 0.000 4.087
N 0.000 0.000 0.000
N 0.000 3.409 2.044


no.,DOS(E_F) (states/eV/atom)
1,0.741
2,1.122
3,0.575
4,1.179
5,0.213
6,0.000